1.
POsN2 | GGA-PBE | relaxed

Cell and atoms, written as extended XYZ:
```
4
Lattice="-2.267 1.823 1.788 -0.530 -3.316 1.543 4.164 0.862 1.329" Properties=species:S:1:pos:R:3 pbc="T T T"
P -0.747 0.378 1.124
N 0.110 0.628 2.479
N -0.470 -2.537 1.322
Os 1.946 -0.460 2.585
```

Properties
DFT total energy, eV/atom: -7.848
E_form (uncorrected), kJ/mol of atoms: 46

2.
MnHgRu2 | GGA-PBE | relaxed

Cell and atoms, written as extended XYZ:
```
4
Lattice="4.673 0.153 0.000 -1.411 4.458 0.000 0.000 0.000 2.959" Properties=species:S:1:pos:R:3 pbc="T T T"
Ru 1.631 2.305 0.000
Ru 0.000 0.000 0.000
Mn -0.705 2.229 1.480
Hg 2.337 0.076 1.480
```

Properties
DFT formation energy, eV per atom: 0.513
DFT total energy, eV/atom: -6.493

3.
LaZn2P | GGA-PBE | relaxed

Cell and atoms, written as extended XYZ:
```
4
Lattice="-2.733 -2.464 -0.775 -0.187 -0.937 3.637 -4.312 4.489 0.935" Properties=species:S:1:pos:R:3 pbc="T T T"
P -4.703 1.675 2.134
Zn -0.228 0.237 0.049
Zn -2.077 -1.059 1.565
La -2.381 2.478 0.516
```

Properties
DFT formation energy, eV per atom: -0.389
DFT total energy, eV/atom: -3.610

4.
EuHo2Pd | GGA-PBE | relaxed

Cell and atoms, written as extended XYZ:
```
4
Lattice="-1.809 1.000 3.449 -2.233 -2.711 1.959 6.206 -3.348 6.570" Properties=species:S:1:pos:R:3 pbc="T T T"
Eu 1.082 -2.529 5.989
Pd 0.000 0.000 0.000
Ho -0.094 -1.031 2.594
Ho 2.258 -4.027 9.385
```

Properties
DFT formation energy, eV per atom: -0.305
DFT total energy, eV/atom: -6.461
ΔE to the lowest computed polymorph, meV/atom: 81.1

Q: The highest DFT total energy belongs to which entry?
A: LaZn2P

Q: Number 1 is which compound?
A: POsN2